! PBE with a Hubbard U BaCr2BF, optimized geometry; values from VASP
&SYSTEM
  ibrav = 0, nat = 5, ntyp = 4
/
ATOMIC_SPECIES
Cr 52.00 Cr.upf
B 10.81 B.upf
Ba 137.33 Ba.upf
F 19.00 F.upf
CELL_PARAMETERS angstrom
4.1875 0.0000 0.0000
0.0000 6.7581 0.0000
0.0000 0.0000 4.1875
ATOMIC_POSITIONS angstrom
Cr 0.0000 0.0000 2.0937
Cr 2.0937 0.0000 0.0000
B 0.0000 0.0000 0.0000
Ba 2.0937 3.3791 2.0937
F 0.0000 3.3791 0.0000
! E_tot   -26.77 eV/f.u.
! Total moment   8.3 Bohr magnetons per cell
! SG   No. 123